A geometry-optimized YHoAlGe structure, computed with PBE.

Cell lengths 4.0155, 4.3538, 10.8672 Å; angles 90.00, 90.00, 90.00 degrees
Last column: nearest neighbours and their distance in Å.
Space group Amm2 (No. 38)
Unique sites:
Y1 0.0000 0.0000 0.0000  4 Ge 3.04, 3 Al 3.09-3.20
Ho1 0.5000 0.0000 0.2819  4 Al 3.05, 3 Ge 3.05-3.23
Al1 0.0000 0.0000 0.7161  2 Ge 2.61
Ge1 0.5000 0.0000 0.5627  2 Al 2.61

Calculated values
Fermi-level density of states = 6.68 states/eV per cell
E_tot = -44.468 eV per cell
Calculated formation energy = -708 meV/atom

A geometry-optimized Tb5CeDyTm2 structure, computed with PBE.

Cell lengths 5.6763, 21.4240, 9.5488 Å; angles 90.00, 90.00, 90.00 degrees
Last column: nearest neighbours and their distance in Å.
Space group Cmc2_1 (No. 36)
Unique sites:
Tb1 0.0000 0.0138 0.0000  3 Tm 3.27-3.67, 2 Dy 3.45, 2 Tb 3.64
Tb2 0.0000 0.2677 0.3177  1 Dy 3.04, 1 Tm 3.30, 1 Ce 3.37
Tb3 0.0000 0.3048 0.6999  2 Ce 3.37, 5 Tb 3.43-3.74, 1 Dy 3.44, 3 Tm 3.50-3.70
Tb4 0.0000 0.3940 0.0319  2 Tb 3.27-3.49, 4 Tm 3.29-3.54, 1 Dy 3.66
Tb5 0.0000 0.4706 0.7356  2 Dy 3.21-3.39, 3 Tb 3.27-3.57, 2 Tm 3.44
Ce1 0.0000 0.1909 0.0098  2 Tm 3.24-3.32, 5 Tb 3.37-3.49, 2 Dy 3.59
Dy1 0.0000 0.4029 0.4149  3 Tb 3.04-3.39
Tm1 0.0000 0.1138 0.3114  9 Tb 3.27-3.67, 1 Ce 3.32
Tm2 0.0000 0.1320 0.6970  1 Ce 3.24, 2 Tb 3.29, 2 Dy 3.60

Calculated values
Fermi-level density of states = 61.27 states/eV per cell
E_tot = -164.325 eV per cell
Calculated formation energy = 172 meV/atom

A geometry-optimized Tb2MgRh structure, computed with PBE.

Cell lengths 3.5474, 3.5474, 7.6866 Å; angles 90.00, 90.00, 90.00 degrees
Last column: nearest neighbours and their distance in Å.
Space group P4/mmm (No. 123)
Unique sites:
Tb1 0.0000 0.0000 0.2111  4 Rh 2.99, 1 Tb 3.24
Mg1 0.5000 0.5000 0.5000  8 Tb 3.35, 4 Mg 3.55
Rh1 0.5000 0.5000 0.0000  8 Tb 2.99

Calculated values
Fermi-level density of states = 1.73 states/eV per cell
Distance to the lowest polymorph of the same formula = 0.001 eV per atom
E_tot = -20.114 eV per cell
Calculated formation energy = -477 meV/atom

A geometry-optimized ZrSb2Rh structure, computed with PBE.

Cell lengths 10.1163, 3.7278, 4.6338 Å; angles 90.00, 104.19, 90.00 degrees
Last column: nearest neighbours and their distance in Å.
Space group Cm (No. 8)
Unique sites:
Zr1 0.0000 0.0000 0.0000  7 Sb 2.87-2.99, 2 Rh 3.01-3.02
Sb1 0.0175 0.5000 0.5114  3 Rh 2.81-3.07, 4 Zr 2.97-2.99
Sb2 0.2693 0.0000 0.9007  3 Zr 2.87-2.93, 4 Rh 2.91-3.08
Rh1 0.3032 0.5000 0.3943  7 Sb 2.81-3.08, 2 Zr 3.01-3.02

Calculated values
Fermi-level density of states = 4.19 states/eV per cell
Formation energy from raw total energies = -452 meV per atom
E_tot = -51.904 eV per cell

A geometry-optimized BaAcBi2 structure, computed with PBE.

Cell lengths 5.0890, 5.0890, 24.1358 Å; angles 90.00, 90.00, 120.00 degrees
Last column: nearest neighbours and their distance in Å.
Space group R3m (No. 160, hexagonal axes)
Unique sites:
Ba1 0.0000 0.0000 0.0000  6 Bi 3.62-3.71
Ac1 0.0000 0.0000 0.1721  6 Bi 3.43-3.49
Bi1 0.0000 0.0000 0.4271  3 Ac 3.49, 1 Bi 3.67, 3 Ba 3.71
Bi2 0.0000 0.0000 0.5790  3 Ac 3.43, 3 Ba 3.62, 1 Bi 3.67

Calculated values
Fermi-level density of states = 12.69 states/eV per cell
Distance to the lowest polymorph of the same formula = 0.075 eV per atom
E_tot = -50.538 eV per cell
Calculated formation energy = -763 meV/atom

A geometry-optimized Ti3Nb2Ga4 structure, computed with PBE.

Cell lengths 5.5922, 14.2803, 7.6849 Å; angles 90.00, 90.00, 90.00 degrees
Last column: nearest neighbours and their distance in Å.
Space group Cmce (No. 64)
Unique sites:
Ti1 0.0000 0.0000 0.0000  6 Ga 2.41-2.61
Ti2 0.2500 0.2078 0.2500  5 Ga 2.58-2.74, 2 Ti 2.80
Nb1 0.0000 0.1231 0.5926  6 Ga 2.83-3.02, 2 Ti 3.04
Ga1 0.0000 0.1808 0.9471  5 Ti 2.60-2.74, 1 Nb 2.85
Ga2 0.2500 0.0269 0.2500  3 Ti 2.41-2.58

Calculated values
Fermi-level density of states = 31.15 states/eV per cell
E_tot = -228.740 eV per cell
Calculated formation energy = -139 meV/atom

A geometry-optimized LiLa2Pt2 structure, computed with PBE.

Cell lengths 8.4177, 8.4177, 3.5810 Å; angles 90.00, 90.00, 90.00 degrees
Last column: nearest neighbours and their distance in Å.
Space group P4/mbm (No. 127)
Unique sites:
Li1 0.0000 0.0000 0.0000  4 La 3.20, 2 Li 3.58
La1 0.1512 0.3488 0.0000  6 Pt 3.02-3.07, 2 Li 3.20
Pt1 0.1448 0.6448 0.5000  6 La 3.02-3.07

Calculated values
Fermi-level density of states = 8.60 states/eV per cell
Distance to the lowest polymorph of the same formula = 0.221 eV per atom
E_tot = -54.949 eV per cell
Calculated formation energy = -725 meV/atom

A geometry-optimized ZrTlZn2 structure, computed with PBE.

Cell lengths 3.1362, 4.4691, 5.7228 Å; angles 90.00, 90.07, 90.00 degrees
Last column: nearest neighbours and their distance in Å.
Space group P2/m (No. 10)
Unique sites:
Zr1 0.0000 0.0000 0.0000  8 Zn 3.00, 2 Zr 3.14, 4 Tl 3.26
Tl1 0.5000 0.0000 0.5000  4 Zn 2.76
Zn1 0.4977 0.5000 0.7823  1 Zn 2.49, 2 Tl 2.76

Calculated values
Fermi-level density of states = 3.19 states/eV per cell
Distance to the lowest polymorph of the same formula = 0.130 eV per atom
E_tot = -13.528 eV per cell
Calculated formation energy = -16 meV/atom

A geometry-optimized TbTi2Nb structure, computed with PBE.

Cell lengths 3.4612, 3.4612, 6.9418 Å; angles 90.00, 90.00, 90.00 degrees
Last column: nearest neighbours and their distance in Å.
Space group P4/mmm (No. 123)
Unique sites:
Tb1 0.0000 0.0000 0.0000  8 Ti 3.23, 4 Tb 3.46, 2 Nb 3.47
Ti1 0.5000 0.5000 0.3028  1 Ti 2.74, 4 Nb 2.80
Nb1 0.0000 0.0000 0.5000  8 Ti 2.80

Calculated values
Fermi-level density of states = 6.46 states/eV per cell
E_tot = -30.102 eV per cell
Calculated formation energy = 97 meV/atom

A geometry-optimized Re2NiAu structure, computed with PBE.

Cell lengths 2.7468, 2.7468, 27.1533 Å; angles 90.00, 90.00, 120.00 degrees
Last column: nearest neighbours and their distance in Å.
Space group R-3m (No. 166, hexagonal axes)
Unique sites:
Re1 0.0000 0.0000 0.2426  3 Ni 2.60, 6 Re 2.75
Ni1 0.0000 0.0000 0.5000  6 Re 2.60, 6 Ni 2.75
Au1 0.0000 0.0000 0.0000  6 Au 2.75, 6 Re 2.93

Calculated values
Fermi-level density of states = 14.22 states/eV per cell
Distance to the lowest polymorph of the same formula = 0.166 eV per atom
E_tot = -97.479 eV per cell
Calculated formation energy = 365 meV/atom

A geometry-optimized Be2CdPt structure, computed with PBE.

Cell lengths 2.8704, 2.8704, 23.7252 Å; angles 90.00, 90.00, 120.00 degrees
Last column: nearest neighbours and their distance in Å.
Space group R-3m (No. 166, hexagonal axes)
Unique sites:
Be1 0.0000 0.0000 0.2387  3 Pt 2.38
Cd1 0.0000 0.0000 0.0000  6 Be 2.79, 6 Cd 2.87
Pt1 0.0000 0.0000 0.5000  6 Be 2.38

Calculated values
Fermi-level density of states = 3.36 states/eV per cell
E_tot = -42.710 eV per cell
Calculated formation energy = 43 meV/atom

A geometry-optimized ScMn2Ni structure, computed with PBE.

Cell lengths 3.1310, 4.3323, 8.8867 Å; angles 90.00, 90.00, 90.00 degrees
Last column: nearest neighbours and their distance in Å.
Space group Immm (No. 71)
Unique sites:
Sc1 0.0000 0.0000 0.0000  4 Ni 2.67, 8 Mn 2.92-2.94
Mn1 0.0000 0.5000 0.2231  2 Ni 2.53, 4 Mn 2.72
Ni1 0.0000 0.0000 0.5000  4 Mn 2.53, 4 Sc 2.67

Calculated values
Fermi-level density of states = 5.16 states/eV per cell
E_tot = -60.839 eV per cell
Calculated formation energy = 8 meV/atom